This record from Alexandria describes a geometry-optimized CeIrPd structure. The functional is GGA-PBE.

a b c (Å): 4.201 4.183 7.358
angles (deg): 90.00 90.00 90.00
Sites, in units of the cell vectors:
1 Ce 0.000 0.500 0.250
2 Ce 0.000 0.500 0.750
3 Ir 0.000 0.000 0.000
4 Ir 0.000 0.000 0.500
5 Pd 0.500 0.999 0.250
6 Pd 0.500 0.001 0.750

Spin magnetization: 0.001 Bohr magnetons per cell
Offset from the most stable computed form: 0.031 eV per atom
Energy of formation from the pure elements: -0.46 eV/atom
VASP energy: -7.12 eV/atom